Computed, not measured: a relaxed structure of CoH2Au at the GGA-PBE level of DFT.

a = 2.8327 Å, b = 2.8327 Å, c = 15.0617 Å
α = 90.00°, β = 90.00°, γ = 120.00°
Last column: nearest neighbours and their distance in Å.
Space group R-3m (No. 166, hexagonal axes)
Inequivalent atoms, fractional coordinates:
Co (0.0000, 0.0000, 0.0000)  6 H 1.73
H (0.0000, 0.0000, 0.3704)  3 Co 1.73
Au (0.0000, 0.0000, 0.5000)  2 H 1.95

Computed properties:
- M_tot: 1.4 μB per cell
- Theoretical density: 12.28 g/cm3
- Polymorph energy (0 for the lowest one): 0.000 eV per atom